# K2HgPbO4, optimized geometry, DFT PBE
data_K2HgPbO4
_chemical_formula_sum 'K2 Hg1 Pb1 O4'
_cell_length_a 3.477
_cell_length_b 6.235
_cell_length_c 6.552
_cell_angle_alpha 110.00
_cell_angle_beta 90.00
_cell_angle_gamma 90.00
_space_group_name_H-M_alt 'P 1'
_space_group_IT_number 1
_space_group_name_Hall 'P 1'
loop_
_atom_site_label
_atom_site_fract_x
_atom_site_fract_y
_atom_site_fract_z
Hg1 0.000 0.000 0.000
O1 0.000 0.709 0.205
K1 0.000 0.500 0.500
Pb1 0.500 0.500 0.000
O2 0.500 0.260 0.185
O3 0.500 0.740 0.815
O4 0.000 0.291 0.795
K2 0.500 0.000 0.500
# Magnetic moment ... 0.000 μB per atom
# Space-group type ... P2/m, No. 10
# V ... 133 Å³/f.u.
# Formation energy from raw total energies ... -1000 meV/atom